Rb3NaGe at its PBEsol-relaxed geometry. Source: Alexandria via LeMat-Bulk, functional meta-GGA SCAN.

Properties
Total DFT energy (no corrections) (eV/cell): -84.6
Energy of formation (eV/atom): 0.180
Density (g cm⁻³): 1.84

Geometry as extended XYZ:
```
5
Lattice="6.819 0.000 0.000 0.000 6.819 0.000 0.000 0.000 6.819" Properties=species:S:1:pos:R:3 pbc="T T T"
Na 3.410 3.410 3.410
Rb 0.000 3.410 0.000
Rb 0.000 0.000 3.410
Rb 3.410 0.000 0.000
Ge 0.000 0.000 0.000
```

NaReGe3 at its PBEsol-relaxed geometry. Source: Alexandria via LeMat-Bulk, functional meta-GGA SCAN.

Properties
Total DFT energy (no corrections) (eV/cell): -122.5
Energy of formation (eV/atom): 2.011
Density (g cm⁻³): 6.69

Geometry as extended XYZ:
```
5
Lattice="4.734 0.000 0.000 0.000 4.734 0.000 0.000 0.000 4.734" Properties=species:S:1:pos:R:3 pbc="T T T"
Ge 2.367 0.000 0.000
Ge 0.000 0.000 2.367
Ge 0.000 2.367 0.000
Na 0.000 0.000 0.000
Re 2.367 2.367 2.367
```

NaReGe2 at its PBEsol-relaxed geometry. Source: Alexandria via LeMat-Bulk, functional meta-GGA SCAN.

Properties
Total DFT energy (no corrections) (eV/cell): -111.9
Energy of formation (eV/atom): 0.400
Density (g cm⁻³): 9.46

Geometry as extended XYZ:
```
4
Lattice="4.448 0.000 0.000 2.224 3.852 0.000 2.224 1.284 3.632" Properties=species:S:1:pos:R:3 pbc="T T T"
Ge 6.672 3.852 2.724
Ge 2.224 1.284 0.908
Re 4.448 2.568 1.816
Na 0.000 0.000 0.000
```

NaGeRh3 at its PBEsol-relaxed geometry. Source: Alexandria via LeMat-Bulk, functional meta-GGA SCAN.

Properties
Total DFT energy (no corrections) (eV/cell): -122.7
Energy of formation (eV/atom): 0.380
Density (g cm⁻³): 7.17

Geometry as extended XYZ:
```
5
Lattice="-0.837 2.789 3.485 -0.160 -3.562 2.812 4.460 0.396 0.755" Properties=species:S:1:pos:R:3 pbc="T T T"
Na 1.732 -0.189 3.526
Rh 2.230 0.198 0.377
Rh -0.080 -1.781 1.406
Rh -0.419 1.395 1.742
Ge 0.000 0.000 0.000
```

NaGe2Rh2 at its PBEsol-relaxed geometry. Source: Alexandria via LeMat-Bulk, functional meta-GGA SCAN.

Properties
Total DFT energy (no corrections) (eV/cell): -113.1
Energy of formation (eV/atom): -0.624
Density (g cm⁻³): 7.21

Geometry as extended XYZ:
```
5
Lattice="-3.242 2.235 1.089 -1.843 -0.959 -3.518 0.434 -4.786 3.449" Properties=species:S:1:pos:R:3 pbc="T T T"
Ge -1.581 -3.111 1.676
Ge -3.069 -0.399 -0.656
Rh -1.976 -2.553 -0.642
Rh -2.675 -0.956 1.662
Na 0.000 0.000 0.000
```

Na4SnGe2S6 at its PBEsol-relaxed geometry. Source: Alexandria via LeMat-Bulk, functional meta-GGA SCAN.

Properties
Total DFT energy (no corrections) (eV/cell): -160.8
Density (g cm⁻³): 3.10

Geometry as extended XYZ:
```
13
Lattice="6.800 -0.003 0.017 -3.358 5.913 0.017 -1.102 -1.892 7.297" Properties=species:S:1:pos:R:3 pbc="T T T"
Na 1.654 2.994 0.017
Na 5.001 1.045 0.017
Na 2.888 1.008 3.665
Na -0.556 3.014 3.665
Ge 2.863 4.917 2.484
Ge -0.525 -0.899 4.847
S 0.735 4.948 1.861
S 1.601 -0.877 5.520
S 3.893 3.058 1.811
S 1.939 3.139 5.633
S 0.566 0.782 1.698
S -1.601 0.937 5.469
Sn -1.594 4.886 0.017
```

NaGeSbTe2 at its PBEsol-relaxed geometry. Source: Alexandria via LeMat-Bulk, functional meta-GGA SCAN.

Properties
Total DFT energy (no corrections) (eV/cell): -130.7
Density (g cm⁻³): 5.21

Geometry as extended XYZ:
```
5
Lattice="-4.507 2.477 0.564 -2.303 -4.576 1.695 1.310 1.226 5.089" Properties=species:S:1:pos:R:3 pbc="T T T"
Sb -2.253 1.238 0.282
Na 0.000 0.000 0.000
Ge -2.750 -0.437 3.674
Te 0.655 0.613 2.545
Te -1.152 -2.288 0.847
```

NaGeSbTe2 at its PBEsol-relaxed geometry. Source: Alexandria via LeMat-Bulk, functional meta-GGA SCAN.

Properties
Total DFT energy (no corrections) (eV/cell): -134.3
Density (g cm⁻³): 4.90

Geometry as extended XYZ:
```
5
Lattice="-2.962 2.794 3.184 -2.070 -4.684 2.185 4.067 -0.023 3.804" Properties=species:S:1:pos:R:3 pbc="T T T"
Te -1.035 -2.342 1.093
Te 2.033 -0.011 1.902
Ge 0.000 0.000 0.000
Sb -1.481 1.397 1.592
Na -0.483 -0.956 4.586
```

NaGeSb2Te at its PBEsol-relaxed geometry. Source: Alexandria via LeMat-Bulk, functional meta-GGA SCAN.

Properties
Total DFT energy (no corrections) (eV/cell): -130.3
Density (g cm⁻³): 5.23

Geometry as extended XYZ:
```
5
Lattice="-0.158 2.674 4.503 -2.426 -4.030 2.308 4.778 -2.075 1.400" Properties=species:S:1:pos:R:3 pbc="T T T"
Ge 1.097 -1.715 4.105
Sb -0.079 1.337 2.251
Sb -1.213 -2.015 1.154
Na 0.000 0.000 0.000
Te 2.389 -1.038 0.700
```

NaTiGeSb2 at its PBEsol-relaxed geometry. Source: Alexandria via LeMat-Bulk, functional meta-GGA SCAN.

Properties
Total DFT energy (no corrections) (eV/cell): -112.1
Density (g cm⁻³): 4.55

Geometry as extended XYZ:
```
5
Lattice="4.806 0.000 0.000 0.000 5.422 0.000 0.000 0.000 5.422" Properties=species:S:1:pos:R:3 pbc="T T T"
Ge 0.000 0.000 0.000
Sb 0.000 0.000 2.711
Sb 0.000 2.711 0.000
Ti 2.403 0.000 0.000
Na 2.403 2.711 2.711
```

NaScGe3 at its PBEsol-relaxed geometry. Source: Alexandria via LeMat-Bulk, functional meta-GGA SCAN.

Properties
Total DFT energy (no corrections) (eV/cell): -74.5
Energy of formation (eV/atom): 0.253
Density (g cm⁻³): 3.60

Geometry as extended XYZ:
```
5
Lattice="-0.757 -1.202 -4.888 5.029 -0.407 -0.678 -0.231 -4.930 1.248" Properties=species:S:1:pos:R:3 pbc="T T T"
Sc 0.000 0.000 0.000
Ge -0.115 -2.465 0.624
Ge 2.514 -0.204 -0.339
Ge -0.378 -0.601 -2.444
Na 2.021 -3.269 -2.159
```

Na6Ge2Se7 at its PBEsol-relaxed geometry. Source: Alexandria via LeMat-Bulk, functional meta-GGA SCAN.

Properties
Total DFT energy (no corrections) (eV/cell): -437.3
Density (g cm⁻³): 3.58

Geometry as extended XYZ:
```
30
Lattice="7.171 -0.038 0.019 -1.101 7.086 0.019 -2.473 -2.871 15.259" Properties=species:S:1:pos:R:3 pbc="T T T"
Na 5.339 2.505 5.514
Na -1.743 1.671 9.783
Na 1.798 2.088 7.649
Na -0.589 5.259 8.808
Na 6.525 1.633 1.178
Na 0.450 4.216 13.143
Na -2.928 2.543 14.119
Na 4.186 -1.083 6.490
Na 1.873 0.774 11.463
Na 3.147 -0.040 2.154
Na 1.724 3.402 3.834
Na 3.035 3.524 0.019
Se 0.514 4.588 1.570
Se 4.151 3.674 8.078
Se -0.781 1.229 12.527
Se 1.029 3.331 10.400
Se 2.568 0.845 4.898
Se 4.378 2.947 2.770
Se 3.083 -0.412 13.727
Se -2.623 4.645 11.463
Se -0.555 0.502 7.219
Se -0.658 -1.910 14.848
Se 0.372 4.423 6.098
Se 3.224 -0.247 9.199
Se 6.219 -0.469 3.834
Se 4.255 6.086 0.449
Ge 0.747 -0.509 5.523
Ge 5.447 4.948 2.145
Ge -1.851 -0.772 13.152
Ge 2.849 4.685 9.774
```

Na9SmGe4Se12 at its PBEsol-relaxed geometry. Source: Alexandria via LeMat-Bulk, functional meta-GGA SCAN.

Properties
Total DFT energy (no corrections) (eV/cell): -428.1
Density (g cm⁻³): 4.09

Geometry as extended XYZ:
```
26
Lattice="-3.173 6.978 -1.768 -8.535 -0.865 3.561 1.409 4.745 7.859" Properties=species:S:1:pos:R:3 pbc="T T T"
Se -4.711 3.491 3.255
Se -2.262 0.864 0.875
Se -9.892 8.948 7.975
Se -7.164 1.892 5.737
Se -3.933 3.704 7.300
Se -1.987 5.356 0.721
Se -7.940 6.255 1.838
Se -7.360 6.368 5.630
Se -1.463 5.481 4.810
Se -3.908 8.158 6.972
Se -6.522 6.512 9.704
Se -4.622 8.138 3.106
Ge -3.586 9.306 4.957
Ge -8.291 5.053 3.868
Ge -7.014 2.980 3.620
Ge -1.654 4.407 6.881
Na -3.697 6.062 9.104
Na -1.740 7.539 2.649
Na -5.054 5.663 1.060
Na -6.754 8.691 7.737
Na -4.425 5.838 5.139
Na -7.911 -0.513 3.831
Na -7.106 4.145 7.788
Na -1.560 3.287 2.773
Na -0.892 7.831 6.666
Sm -4.286 1.532 5.398
```

Na6Sm4Ge4Se17 at its PBEsol-relaxed geometry. Source: Alexandria via LeMat-Bulk, functional meta-GGA SCAN.

Properties
Total DFT energy (no corrections) (eV/cell): -658.1
Density (g cm⁻³): 4.82

Geometry as extended XYZ:
```
31
Lattice="-0.166 5.819 3.633 -9.403 2.759 -4.849 -0.789 -8.642 8.939" Properties=species:S:1:pos:R:3 pbc="T T T"
Se -3.788 2.729 2.002
Se -5.021 -2.135 4.886
Se -5.359 -0.900 1.277
Se -6.607 1.095 3.827
Se -9.720 1.321 5.954
Se -2.159 0.003 7.911
Se -8.111 2.885 1.407
Se -7.861 1.167 -2.147
Se -0.820 1.533 3.520
Se -6.867 0.052 7.617
Se -3.799 1.772 5.815
Se -2.428 -4.008 7.857
Se -8.731 -1.834 4.619
Se -1.677 -1.767 4.966
Se -8.512 -1.263 0.900
Se -3.625 1.064 -1.869
Se -1.644 -1.089 1.250
Na -5.725 1.730 -0.070
Na -1.679 1.782 0.164
Na -2.408 -3.686 10.793
Na -4.503 -1.832 7.860
Na -5.852 4.906 1.851
Na -4.476 -4.978 5.887
Sm -0.840 2.264 6.430
Sm -9.458 0.639 2.966
Sm -3.502 0.061 3.415
Sm -6.839 -3.113 2.675
Ge -1.051 -5.237 6.362
Ge -6.835 -0.685 5.408
Ge -9.211 2.290 -0.618
Ge -3.736 3.538 4.234
```

Na2ZnGe2Se6 at its PBEsol-relaxed geometry. Source: Alexandria via LeMat-Bulk, functional meta-GGA SCAN.

Properties
Total DFT energy (no corrections) (eV/cell): -376.6
Density (g cm⁻³): 4.39

Geometry as extended XYZ:
```
22
Lattice="-7.381 -2.000 0.923 2.124 -5.610 4.832 1.925 9.707 4.283" Properties=species:S:1:pos:R:3 pbc="T T T"
Na -0.543 4.554 5.525
Na -0.161 1.348 1.636
Na -3.171 0.749 8.403
Na -2.789 -2.456 4.514
Zn 0.710 0.146 5.997
Zn -4.042 1.951 4.042
Ge 0.479 2.084 8.348
Ge -4.273 3.889 6.394
Ge 0.941 -1.792 3.645
Ge -3.811 0.013 1.690
Se -0.895 -3.389 6.636
Se -2.437 5.487 3.403
Se 0.186 -4.073 3.375
Se -2.538 2.367 5.965
Se 1.487 2.482 6.265
Se -0.793 -0.269 4.074
Se -4.819 -0.385 3.774
Se 1.589 5.602 3.703
Se -3.150 -6.008 4.643
Se -2.107 -1.601 1.113
Se -5.443 -3.537 2.380
Se -4.921 -3.505 6.335
```

Na2SiGe at its PBEsol-relaxed geometry. Source: Alexandria via LeMat-Bulk, functional meta-GGA SCAN.

Properties
Total DFT energy (no corrections) (eV/cell): -72.6
Density (g cm⁻³): 1.62

Geometry as extended XYZ:
```
8
Lattice="4.794 0.000 0.000 2.397 7.928 0.000 2.397 0.000 7.928" Properties=species:S:1:pos:R:3 pbc="T T T"
Na 7.791 5.982 5.910
Na 4.195 5.910 1.946
Na 2.996 1.946 2.018
Na 4.195 2.018 5.982
Si 3.596 3.964 3.964
Si 2.397 0.000 0.000
Ge 5.993 3.964 3.964
Ge 0.000 0.000 0.000
```

Na2ZrSiGe at its PBEsol-relaxed geometry. Source: Alexandria via LeMat-Bulk, functional meta-GGA SCAN.

Properties
Total DFT energy (no corrections) (eV/cell): -65.3
Density (g cm⁻³): 3.13

Geometry as extended XYZ:
```
5
Lattice="-0.678 0.360 4.863 0.689 -4.854 0.455 5.100 0.785 0.653" Properties=species:S:1:pos:R:3 pbc="T T T"
Zr 2.550 0.393 0.326
Si 2.556 -1.854 2.986
Ge 0.000 0.000 0.000
Na 0.344 -2.427 0.228
Na -0.339 0.180 2.432
```

NaSn2Ge at its PBEsol-relaxed geometry. Source: Alexandria via LeMat-Bulk, functional meta-GGA SCAN.

Properties
Total DFT energy (no corrections) (eV/cell): -190.5
Energy of formation (eV/atom): -0.026
Density (g cm⁻³): 5.38

Geometry as extended XYZ:
```
8
Lattice="5.994 0.000 0.000 2.997 5.856 0.000 2.997 0.000 5.856" Properties=species:S:1:pos:R:3 pbc="T T T"
Na 4.496 2.928 2.928
Na 2.997 0.000 0.000
Ge 0.000 0.000 0.000
Ge 7.493 2.928 2.928
Sn 8.242 2.604 5.532
Sn 6.743 5.532 3.252
Sn 6.743 0.324 2.604
Sn 2.248 3.252 0.324
```

NaSnGe2 at its PBEsol-relaxed geometry. Source: Alexandria via LeMat-Bulk, functional meta-GGA SCAN.

Properties
Total DFT energy (no corrections) (eV/cell): -77.7
Energy of formation (eV/atom): 0.160
Density (g cm⁻³): 5.53

Geometry as extended XYZ:
```
4
Lattice="-0.731 2.287 4.337 -4.436 1.942 1.061 -2.863 -2.102 3.459" Properties=species:S:1:pos:R:3 pbc="T T T"
Sn -4.015 1.063 4.429
Na 0.000 0.000 0.000
Ge -6.023 1.595 6.643
Ge -2.008 0.532 2.214
```

NaSr2Ge2 at its PBEsol-relaxed geometry. Source: Alexandria via LeMat-Bulk, functional meta-GGA SCAN.

Properties
Total DFT energy (no corrections) (eV/cell): -178.6
Energy of formation (eV/atom): -0.475
Density (g cm⁻³): 3.93

Geometry as extended XYZ:
```
10
Lattice="-2.122 1.284 -3.691 5.320 -4.107 -4.487 -4.704 -6.557 0.423" Properties=species:S:1:pos:R:3 pbc="T T T"
Na 0.308 -5.332 -2.032
Na 0.000 0.000 0.000
Sr -3.305 -4.511 -2.349
Sr -0.163 -1.842 -3.226
Sr -1.343 -7.538 -4.529
Sr 1.799 -4.868 -5.407
Ge -2.112 -7.432 -1.371
Ge -1.245 -3.008 -0.331
Ge 1.861 -7.656 -3.733
Ge 2.728 -3.232 -2.693
```

NaTaGe3 at its PBEsol-relaxed geometry. Source: Alexandria via LeMat-Bulk, functional meta-GGA SCAN.

Properties
Total DFT energy (no corrections) (eV/cell): -127.3
Energy of formation (eV/atom): 0.156
Density (g cm⁻³): 5.63

Geometry as extended XYZ:
```
5
Lattice="-0.676 -1.655 -4.661 -1.179 -4.515 1.774 -4.804 1.341 0.220" Properties=species:S:1:pos:R:3 pbc="T T T"
Ge -0.590 -2.257 0.887
Ge -2.402 0.671 0.110
Ge -0.338 -0.827 -2.331
Na -3.329 -2.414 -1.333
Ta 0.000 0.000 0.000
```

NaTlGe3 at its PBEsol-relaxed geometry. Source: Alexandria via LeMat-Bulk, functional meta-GGA SCAN.

Properties
Total DFT energy (no corrections) (eV/cell): -129.8
Energy of formation (eV/atom): 0.808
Density (g cm⁻³): 4.80

Geometry as extended XYZ:
```
5
Lattice="5.362 0.000 0.000 0.000 5.362 0.000 0.000 0.000 5.362" Properties=species:S:1:pos:R:3 pbc="T T T"
Ge 2.681 0.000 0.000
Ge 0.000 0.000 2.681
Ge 0.000 2.681 0.000
Na 2.681 2.681 2.681
Tl 0.000 0.000 0.000
```

NaGeW3 at its PBEsol-relaxed geometry. Source: Alexandria via LeMat-Bulk, functional meta-GGA SCAN.

Properties
Total DFT energy (no corrections) (eV/cell): -216.0
Energy of formation (eV/atom): 3.280
Density (g cm⁻³): 12.02

Geometry as extended XYZ:
```
5
Lattice="-1.133 4.305 0.417 -4.224 -1.009 -1.063 -0.930 -0.663 4.323" Properties=species:S:1:pos:R:3 pbc="T T T"
W -0.567 2.153 0.208
W -2.112 -0.505 -0.532
W -0.465 -0.332 2.162
Na 0.000 0.000 0.000
Ge -3.144 1.316 1.838
```

| no. | M_tot (μB/f.u.) |
| --- | --- |
| 1 | 2.007 |
| 2 | 3.480 |
| 3 | 0.000 |
| 4 | 1.530 |
| 5 | 0.000 |
| 6 | 0.000 |
| 7 | 0.000 |
| 8 | 0.000 |
| 9 | 0.000 |
| 10 | 1.470 |
| 11 | 0.000 |
| 12 | 0.000 |
| 13 | 0.000 |
| 14 | 0.002 |
| 15 | 0.000 |
| 16 | 0.000 |
| 17 | 0.000 |
| 18 | 0.000 |
| 19 | 0.000 |
| 20 | 0.000 |
| 21 | 0.000 |
| 22 | 0.000 |
| 23 | 0.008 |